## Fe6O11F (PBE+U)

Data for an optimized crystal structure of Fe6O11F.

Lattice parameters (Å, degrees): 5.4789 5.4789 7.0711 107.41 107.41 73.62
Positions (direct):
Fe  0.0000  0.0000  0.0000
Fe  0.2964  0.3530  0.8270
Fe  0.3076  0.3593  0.3357
Fe  0.6407  0.6924  0.6643
Fe  0.6470  0.7036  0.1730
Fe  0.9750  0.0250  0.5000
O  0.0001  0.6701  0.3334
O  0.0811  0.1217  0.2982
O  0.2130  0.2500  0.0408
O  0.2990  0.7010  0.0000
O  0.3299  0.9999  0.6666
O  0.4089  0.4614  0.6300
O  0.5386  0.5911  0.3700
O  0.6223  0.0563  0.3382
O  0.7500  0.7870  0.9592
O  0.8783  0.9189  0.7018
O  0.9437  0.3777  0.6618
F  0.6805  0.3195  0.0000

Fermi-level density of states = 0.3596 states/eV/atom
Symmetry = C2, No. 5
Calculated total energy = -6.1172 eV/atom